Entry 1:
{"formula": "Sc3AuN", "functional": "GGA-PBE", "state": "optimized geometry", "cell": [[5.296, 0.000, 0.538], [0.000, 5.902, 0.000], [-1.208, 0.000, 5.801]], "species": ["Sc", "Sc", "Sc", "Sc", "Sc", "Sc", "Au", "Au", "N", "N"], "fractional_positions": [[0.249, 0.498, 0.863], [0.249, 0.002, 0.863], [0.751, 0.998, 0.137], [0.290, 0.750, 0.370], [0.710, 0.250, 0.630], [0.751, 0.502, 0.137], [0.176, 0.250, 0.388], [0.824, 0.750, 0.612], [0.544, 0.250, 0.931], [0.456, 0.750, 0.069]], "e_form_raw_mev_per_atom": -938, "space_group": "No. 11"}

=====

Entry 2:
{"formula": "Th2GaSb", "functional": "GGA-PBE", "state": "optimized geometry", "cell": [[-4.436, -0.491, -0.130], [0.262, -0.740, -6.125], [0.729, -7.685, 4.137]], "species": ["Th", "Th", "Th", "Th", "Sb", "Sb", "Ga", "Ga"], "fractional_positions": [[0.250, 0.771, 0.075], [0.750, 0.219, 0.436], [0.750, 0.229, 0.925], [0.250, 0.781, 0.564], [0.250, 0.328, 0.207], [0.750, 0.672, 0.793], [0.250, 0.312, 0.703], [0.750, 0.688, 0.297]], "de_polymorph_mev_per_atom": 26, "e_form_raw_mev_per_atom": -651, "space_group": "No. 11"}

=====

Entry 3:
{"formula": "LiMg3Rh", "functional": "GGA-PBE", "state": "optimized geometry", "cell": [[5.471, 0.310, 0.252], [0.415, 8.633, -0.044], [0.415, 1.709, 8.462]], "species": ["Mg", "Mg", "Mg", "Mg", "Mg", "Mg", "Mg", "Mg", "Mg", "Mg", "Mg", "Mg", "Li", "Li", "Li", "Li", "Rh", "Rh", "Rh", "Rh"], "fractional_positions": [[0.145, 0.514, 0.699], [0.009, 0.134, 0.749], [0.355, 0.301, 0.486], [0.645, 0.699, 0.514], [0.509, 0.749, 0.134], [0.991, 0.866, 0.251], [0.057, 0.750, 0.938], [0.943, 0.250, 0.062], [0.557, 0.938, 0.750], [0.855, 0.486, 0.301], [0.491, 0.251, 0.866], [0.443, 0.062, 0.250], [0.361, 0.431, 0.150], [0.639, 0.569, 0.850], [0.861, 0.150, 0.431], [0.139, 0.850, 0.569], [0.750, 0.389, 0.611], [0.750, 0.995, 0.005], [0.250, 0.611, 0.389], [0.250, 0.005, 0.995]], "de_polymorph_mev_per_atom": 0, "space_group": "No. 15", "ef_ev_per_atom": -0.187}

=====

Entry 4:
{"formula": "Ti3GaS", "functional": "GGA-PBE", "state": "optimized geometry", "cell": [[-4.402, -0.757, -0.107], [0.469, -3.170, 3.114], [-0.604, 3.057, 3.203]], "species": ["Ti", "Ti", "Ti", "S", "Ga"], "fractional_positions": [[0.000, 0.000, 0.500], [0.000, 0.500, 0.000], [0.500, 0.000, 0.000], [0.000, 0.000, 0.000], [0.500, 0.500, 0.500]], "de_polymorph_mev_per_atom": 174, "e_form_raw_mev_per_atom": -421, "space_group": "No. 221"}

=====

Entry 5:
{"formula": "LaSmAu2", "functional": "GGA-PBE", "state": "optimized geometry", "cell": [[3.916, 0.000, -0.023], [0.000, 4.808, 0.000], [-1.919, 0.000, 5.702]], "species": ["Sm", "Au", "Au", "La"], "fractional_positions": [[0.446, 0.500, 0.431], [0.995, 0.000, 0.529], [0.170, 0.500, 0.879], [0.720, 0.000, 0.979]], "space_group": "No. 38", "ef_ev_per_atom": -0.823}

=====

Entry 6:
{"formula": "AcYU2O8", "functional": "GGA-PBE", "state": "optimized geometry", "cell": [[-2.763, -4.845, -3.355], [3.424, -2.389, 4.994], [-4.656, 3.927, 2.295]], "species": ["O", "O", "O", "O", "O", "O", "O", "O", "U", "U", "Y", "Ac"], "fractional_positions": [[0.366, 0.059, 0.308], [0.751, 0.059, 0.692], [0.879, 0.706, 0.173], [0.294, 0.121, 0.827], [0.294, 0.467, 0.173], [0.941, 0.249, 0.308], [0.941, 0.634, 0.692], [0.533, 0.706, 0.827], [0.750, 0.250, 0.500], [0.500, 0.500, 0.000], [0.000, 0.000, 0.000], [0.250, 0.750, 0.500]], "e_form_raw_mev_per_atom": -3072, "space_group": "No. 119"}

=====

What did we get for size of the total moment? Answer: 0.00 0.00 0.00 0.00 0.00 1.99 μB per formula unit, in the order shown.